Mn2BiPdS: optimized geometry, GGA-PBE.

a b c (Å): 4.949 4.949 5.153
angles (deg): 90.00 90.00 90.00
Positions (direct):
Mn 0.000 0.500 0.000
Mn 0.500 0.000 0.000
Bi 0.000 0.000 0.500
Pd 0.000 0.000 0.000
S 0.500 0.500 0.500

* uncorrected energy: -5.64 eV/atom
* ρ: 6.0 g/cm3